A plane-wave DFT calculation with PBE was carried out for SrLi2Rh after structural relaxation.

The space group is I4/mmm (No. 139) and the conventional cell measures 4.360, 4.360 and 8.346 Å, with angles of 90.00, 90.00 and 90.00 degrees. The inequivalent atoms are Sr at (0.000, 0.000, 0.000), Li at (0.000, 0.500, 0.250) and Rh at (0.000, 0.000, 0.500).

For the volume, the calculation gives 158.67 Å³/cell. As for the relative energy among the computed polymorphs: 0.1176 eV per atom. The calculation puts the magnetization at 0.00 μB/atom. As for the formation enthalpy at 0 K: -10.0 kJ/mol of formula units.

***

A plane-wave DFT calculation with PBE was carried out for SrLi2Rh after structural relaxation.

The space group is P4mm (No. 99) and the conventional cell measures 3.468, 3.468 and 7.399 Å, with angles of 90.00, 90.00 and 90.00 degrees. The inequivalent atoms are Sr at (0.000, 0.000, 0.000), Li at (0.000, 0.000, 0.597), Li at (0.500, 0.500, 0.400) and Rh at (0.500, 0.500, 0.750).

For the volume, the calculation gives 89.01 Å³/cell. As for the relative energy among the computed polymorphs: 0.1032 eV per atom. The calculation puts the magnetization at 0.00 μB/atom. As for the formation enthalpy at 0 K: -15.5 kJ/mol of formula units.

***

A plane-wave DFT calculation with PBE was carried out for Sr2Li5Rh5 after structural relaxation.

The space group is Pmmm (No. 47) and the conventional cell measures 4.289, 5.165 and 9.520 Å, with angles of 90.00, 90.00 and 90.00 degrees. The inequivalent atoms are Sr at (0.000, 0.000, 0.000), Sr at (0.000, 0.500, 0.500), Li at (0.000, 0.000, 0.312), Li at (0.000, 0.500, 0.166), Li at (0.500, 0.000, 0.500), Rh at (0.500, 0.248, 0.248) and Rh at (0.500, 0.500, 0.000).

For the volume, the calculation gives 210.88 Å³/cell. The calculation puts the magnetization at 0.00 μB/atom. As for the formation enthalpy at 0 K: -185.5 kJ/mol of formula units.

***

A plane-wave DFT calculation with PBE was carried out for SrLiRh2 after structural relaxation.

The space group is I-42d (No. 122) and the conventional cell measures 4.577, 4.577 and 17.469 Å, with angles of 90.00, 90.00 and 90.00 degrees. The inequivalent atoms are Sr at (0.000, 0.000, 0.000), Li at (0.000, 0.000, 0.500) and Rh at (0.092, 0.250, 0.625).

For the volume, the calculation gives 365.92 Å³/cell. The calculation puts the magnetization at 0.00 μB/atom. As for the formation enthalpy at 0 K: 52.7 kJ/mol of formula units.

***

A plane-wave DFT calculation with PBE was carried out for SrLiRh2 after structural relaxation.

The space group is Pmm2 (No. 25) and the conventional cell measures 3.047, 3.922 and 6.425 Å, with angles of 90.00, 90.00 and 90.00 degrees. The inequivalent atoms are Sr at (0.000, 0.000, 0.000), Li at (0.500, 0.500, 0.340), Rh at (0.000, 0.000, 0.537) and Rh at (0.500, 0.500, 0.707).

For the volume, the calculation gives 76.77 Å³/cell. The calculation puts the magnetization at 0.00 μB/atom. As for the formation enthalpy at 0 K: 33.5 kJ/mol of formula units.

***

A plane-wave DFT calculation with PBE was carried out for SrLiRh after structural relaxation.

The space group is F-43m (No. 216) and the conventional cell measures 6.740, 6.740 and 6.740 Å, with angles of 90.00, 90.00 and 90.00 degrees. The inequivalent atoms are Sr at (0.000, 0.000, 0.000), Li at (0.250, 0.250, 0.750) and Rh at (0.250, 0.250, 0.250).

For the volume, the calculation gives 306.23 Å³/cell. As for the relative energy among the computed polymorphs: 0.6249 eV per atom. The calculation puts the magnetization at 0.00 μB/atom. As for the formation enthalpy at 0 K: 136.0 kJ/mol of formula units.

***

A plane-wave DFT calculation with PBE was carried out for SrLi8Rh4 after structural relaxation.

The space group is I4/mmm (No. 139) and the conventional cell measures 9.203, 9.203 and 5.055 Å, with angles of 90.00, 90.00 and 90.00 degrees. The inequivalent atoms are Sr at (0.000, 0.000, 0.000), Li at (0.000, 0.237, 0.500), Li at (0.000, 0.343, 0.000) and Rh at (0.250, 0.250, 0.250).

For the volume, the calculation gives 428.10 Å³/cell. The calculation puts the magnetization at 0.04 μB/atom. As for the formation enthalpy at 0 K: -223.5 kJ/mol of formula units.

***

A plane-wave DFT calculation with PBE was carried out for SrLi2Rh2 after structural relaxation.

The space group is P4/mbm (No. 127) and the conventional cell measures 7.531, 7.531 and 2.995 Å, with angles of 90.00, 90.00 and 90.00 degrees. The inequivalent atoms are Sr at (0.000, 0.000, 0.000), Li at (0.149, 0.351, 0.000) and Rh at (0.131, 0.631, 0.500).

For the volume, the calculation gives 169.85 Å³/cell. As for the relative energy among the computed polymorphs: 0.0082 eV per atom. The calculation puts the magnetization at 0.11 μB/atom. As for the formation enthalpy at 0 K: 13.6 kJ/mol of formula units.

***

A plane-wave DFT calculation with PBE was carried out for SrLiRh2 after structural relaxation.

The space group is Pmmm (No. 47) and the conventional cell measures 3.274, 4.628 and 4.746 Å, with angles of 90.00, 90.00 and 90.00 degrees. The inequivalent atoms are Sr at (0.000, 0.000, 0.000), Li at (0.500, 0.000, 0.500), Rh at (0.000, 0.500, 0.500) and Rh at (0.500, 0.500, 0.000).

For the volume, the calculation gives 71.90 Å³/cell. The calculation puts the magnetization at 0.00 μB/atom. As for the formation enthalpy at 0 K: 47.7 kJ/mol of formula units.

***

A plane-wave DFT calculation with PBE was carried out for Sr8Li2Rh after structural relaxation.

The space group is C2/m (No. 12) and the conventional cell measures 24.066, 4.357 and 9.444 Å, with angles of 90.00, 100.32 and 90.00 degrees. The inequivalent atoms are Sr at (0.013, 0.000, 0.295), Sr at (0.100, 0.500, 0.015), Sr at (0.121, 0.500, 0.593), Sr at (0.210, 0.000, 0.314), Li at (0.212, 0.000, 0.904) and Rh at (0.000, 0.500, 0.500).

For the volume, the calculation gives 974.32 Å³/cell. As for the relative energy among the computed polymorphs: 0.0000 eV per atom. The calculation puts the magnetization at 0.00 μB/atom. As for the formation enthalpy at 0 K: -53.4 kJ/mol of formula units.

***

A plane-wave DFT calculation with PBE was carried out for Sr3Li7Rh2 after structural relaxation.

The space group is R-3m (No. 166, hexagonal axes) and the conventional cell measures 5.8337, 5.8337 and 29.1011 Å, with angles of 90.00, 90.00 and 120.00 degrees. The inequivalent atoms are Sr at (0.0000, 0.0000, 0.0000), Sr at (0.0000, 0.0000, 0.1372), Li at (0.0000, 0.0000, 0.5000), Li at (0.0010, 0.5005, 0.0672) and Rh at (0.0000, 0.0000, 0.3328).

For the volume, the calculation gives 857.69 Å³/cell. The calculation puts the magnetization at 0.00 μB/atom. As for the formation enthalpy at 0 K: -2.8 kJ/mol of formula units.

***

A plane-wave DFT calculation with PBE was carried out for Sr4LiRh after structural relaxation.

The space group is F-43m (No. 216) and the conventional cell measures 9.895, 9.895 and 9.895 Å, with angles of 90.00, 90.00 and 90.00 degrees. The inequivalent atoms are Sr at (0.124, 0.124, 0.376), Li at (0.000, 0.000, 0.000) and Rh at (0.250, 0.250, 0.750).

For the volume, the calculation gives 968.97 Å³/cell. As for the relative energy among the computed polymorphs: 0.8910 eV per atom. The calculation puts the magnetization at 0.00 μB/atom. As for the formation enthalpy at 0 K: 446.3 kJ/mol of formula units.